Record 1
The following is a DFT calculation (PBEsol) of crystalline KCaPt at its relaxed geometry.

a = 7.0890 Å, b = 7.0890 Å, c = 7.0890 Å
α = 90.00°, β = 90.00°, γ = 90.00°
Last column: nearest neighbours and their distance in Å.
Space group F-43m (No. 216)
One atom of each set of equivalent atoms:
K 0.0000 0.0000 0.0000  4 Pt 3.07
Ca 0.0000 0.0000 0.5000  4 Pt 3.07
Pt 0.2500 0.2500 0.2500  4 K 3.07, 4 Ca 3.07

## Properties
Formation energy from the elements   -0.107 eV per atom
Size of the total moment   0.0013 μB/atom
Total DFT energy (no corrections)   -3.52 eV per atom

=====

Record 2
The following is a DFT calculation (PBEsol) of crystalline CdRe2As at its relaxed geometry.

a = 5.3432 Å, b = 8.2761 Å, c = 2.9119 Å
α = 90.00°, β = 90.00°, γ = 90.00°
Last column: nearest neighbours and their distance in Å.
Space group Cmmm (No. 65)
One atom of each set of equivalent atoms:
Cd 0.0000 0.0000 0.0000  2 As 2.67, 8 Re 2.86, 2 Cd 2.91
Re 0.2500 0.2500 0.5000  4 Re 2.67-2.91, 4 Cd 2.86, 4 As 2.86
As 0.0000 0.5000 0.0000  2 Cd 2.67, 8 Re 2.86, 2 As 2.91

## Properties
ΔE to the lowest computed polymorph   775 meV/atom
Formation energy from the elements   0.967 eV per atom
Size of the total moment   0.0000 μB/atom
Total DFT energy (no corrections)   -7.28 eV per atom

=====

Record 3
The following is a DFT calculation (PBEsol) of crystalline ScTlSbTe2 at its relaxed geometry.

a = 5.5778 Å, b = 5.5778 Å, c = 5.4850 Å
α = 90.00°, β = 90.00°, γ = 90.00°
Last column: nearest neighbours and their distance in Å.
Space group P4/mmm (No. 123)
One atom of each set of equivalent atoms:
Sc 0.0000 0.0000 0.0000  8 Te 3.91, 4 Sb 3.94
Tl 0.5000 0.5000 0.5000  2 Sb 2.74, 4 Te 2.79
Sb 0.5000 0.5000 0.0000  2 Tl 2.74
Te 0.0000 0.5000 0.5000  2 Tl 2.79

## Properties
ΔE_f (raw)   0.596 eV/atom
Size of the total moment   0.0001 μB/atom
Total DFT energy (no corrections)   -3.57 eV per atom

=====

Record 4
The following is a DFT calculation (PBEsol) of crystalline Zn2HgOs at its relaxed geometry.

a = 4.2843 Å, b = 2.7064 Å, c = 10.5483 Å
α = 90.00°, β = 90.00°, γ = 90.00°
Last column: nearest neighbours and their distance in Å.
Space group Amm2 (No. 38)
One atom of each set of equivalent atoms:
Zn 0.0000 0.0000 0.0000  4 Zn 2.59-2.71, 1 Hg 2.62, 4 Os 2.68
Zn 0.5000 0.0000 0.1388  4 Zn 2.59-2.71, 2 Os 2.70, 4 Hg 2.80
Hg 0.0000 0.0000 0.7519  5 Zn 2.62-2.80, 2 Hg 2.71
Os 0.5000 0.0000 0.4171  7 Zn 2.68-2.93, 2 Os 2.71

## Properties
Formation energy from the elements   0.347 eV per atom
Size of the total moment   0.0001 μB/atom
Total DFT energy (no corrections)   -3.64 eV per atom